BaScIn2 | PBEsol | relaxed

a b c (Å): 3.7520 3.7520 7.9544
angles (deg): 90.00 90.00 90.00
Space group P4/mmm (No. 123)
Asymmetric unit:
Ba 0.0000 0.0000 0.0000
Sc 0.0000 0.0000 0.5000
In 0.5000 0.5000 0.3053

Properties
ΔH_f (0 K) = -430 meV/atom

MnP2Se | PBEsol | relaxed

a b c (Å): 6.9315 2.6829 7.4801
angles (deg): 90.00 108.99 90.00
Space group C2/m (No. 12)
Asymmetric unit:
Mn 0.0000 0.0000 0.0000
P 0.1535 0.5000 0.8469
Se 0.0000 0.5000 0.5000

Properties
ΔE_f (raw) = -0.0999 eV per atom

InNiTe | PBEsol | relaxed

a b c (Å): 3.7471 3.7471 5.2348
angles (deg): 90.00 90.00 120.00
Space group P3m1 (No. 156)
Asymmetric unit:
In 0.0000 0.0000 0.0000
Ni 0.6667 0.3333 0.7136
Te 0.3333 0.6667 0.4796

Properties
energy above the most stable polymorph in this dataset = 0.000 eV per formula unit
ΔE_f (raw) = -0.1134 eV per atom

Li5Te | PBEsol | relaxed

a b c (Å): 8.7241 4.2119 6.1890
angles (deg): 90.00 102.11 90.00
Space group C2/m (No. 12)
Asymmetric unit:
Li 0.0000 0.0000 0.0000
Li 0.1470 0.5000 0.8277
Li 0.1740 0.5000 0.3235
Te 0.0000 0.0000 0.5000

Properties
ΔE_f (raw) = -0.4337 eV per atom

CaBe2 | PBEsol | relaxed

a b c (Å): 7.1913 7.1913 7.1913
angles (deg): 90.00 90.00 90.00
Space group Fd-3m (No. 227, origin choice 2)
Asymmetric unit:
Ca 0.1250 0.1250 0.1250
Be 0.0000 0.0000 0.5000

Properties
ΔH_f (0 K) = 326 meV/atom

LiMgAg2 | PBEsol | relaxed

a b c (Å): 9.6510 3.0224 4.7416
angles (deg): 90.00 103.20 90.00
Space group Cm (No. 8)
Asymmetric unit:
Li 0.0000 0.0000 0.0000
Mg 0.2677 0.5000 0.3114
Ag 0.0137 0.5000 0.5198
Ag 0.2571 0.0000 0.8070

Properties
ΔH_f (0 K) = -189 meV/atom

YPNO2 | PBEsol | relaxed

a b c (Å): 4.0225 4.0225 3.5307
angles (deg): 90.00 90.00 90.00
Space group P4/mmm (No. 123)
Asymmetric unit:
Y 0.0000 0.0000 0.0000
P 0.5000 0.5000 0.0000
N 0.5000 0.5000 0.5000
O 0.0000 0.5000 0.5000

Properties
ΔE_f (raw) = -0.3625 eV per atom

Ca2AlSe | PBEsol | relaxed

a b c (Å): 3.9038 3.9038 25.0434
angles (deg): 90.00 90.00 120.00
Space group R-3m (No. 166, hexagonal axes)
Asymmetric unit:
Ca 0.0000 0.0000 0.2376
Al 0.0000 0.0000 0.0000
Se 0.0000 0.0000 0.5000

Properties
energy above the most stable polymorph in this dataset = 0.000 eV per formula unit
ΔE_f (raw) = -0.8827 eV per atom